1.
KRe2Ir: relaxed, PBE.

As for the density of states at the Fermi level: 1.218 states/eV per atom. The calculation puts the polymorph energy (0 for the lowest one) at 1053 meV/atom. For the energy of formation, the calculation gives 1655 meV/atom.

Cell: 4.5252 4.5252 4.5252 Å, 60.00 60.00 60.00°
Element x y z (fractional)
Ir: 0.0000 0.0000 0.0000
K: 0.5000 0.5000 0.5000
Re: 0.2500 0.2500 0.2500
Re: 0.7500 0.7500 0.7500

---

2.
KReIr2: relaxed, PBE.

As for the density of states at the Fermi level: 1.873 states/eV per atom. The calculation puts the polymorph energy (0 for the lowest one) at 1106 meV/atom. For the energy of formation, the calculation gives 1452 meV/atom.

Cell: 4.5474 4.5474 4.5474 Å, 60.00 60.00 60.00°
Element x y z (fractional)
Ir: 0.0000 0.0000 0.0000
Ir: 0.2500 0.2500 0.2500
K: 0.5000 0.5000 0.5000
Re: 0.7500 0.7500 0.7500

---

3.
KRe2Ir: relaxed, PBE.

As for the density of states at the Fermi level: 0.747 states/eV per atom. The calculation puts the polymorph energy (0 for the lowest one) at 119 meV/atom. For the energy of formation, the calculation gives 721 meV/atom.

Cell: 10.6502 10.6502 10.6502 Å, 15.01 15.01 15.01°
Element x y z (fractional)
Ir: 0.2500 0.2500 0.2500
K: 0.7500 0.7500 0.7500
Re: 0.9859 0.9859 0.9859
Re: 0.5141 0.5141 0.5141

---

4.
KReIr2: relaxed, PBE.

As for the density of states at the Fermi level: 1.476 states/eV per atom. The calculation puts the polymorph energy (0 for the lowest one) at 344 meV/atom. For the energy of formation, the calculation gives 690 meV/atom.

Cell: 2.7428 2.7428 9.6594 Å, 90.00 90.00 90.00°
Element x y z (fractional)
Ir: 0.0000 0.0000 0.0023
Ir: 0.5000 0.5000 0.2044
K: 0.0000 0.0000 0.4860
Re: 0.5000 0.5000 0.8073